# Zr2CdHg

Zr2CdHg after structural relaxation (PBEsol, the Alexandria database).

Cell: 3.2484 3.2484 28.7942 Å, 90.00 90.00 120.00°
Space group R3m (No. 160, hexagonal axes)
Unique sites:
Zr: 0.0000 0.0000 0.0000
Zr: 0.0000 0.0000 0.2505
Cd: 0.0000 0.0000 0.4979
Hg: 0.0000 0.0000 0.7493

Results
calculated volume: 21.93 Å³/atom
density: 9.378 g cm⁻³
DFT formation energy: -8.32 kJ per mole of atoms
uncorrected energy: -5.07 eV per atom
energy above the lowest structure with this stoichiometry: 143 meV per atom
crystal system: trigonal
total magnetization: 0.00 μB/f.u.

---

# TlCrP2O7

TlCrP2O7 after structural relaxation (PBEsol, the Alexandria database).

Cell: 7.452 9.884 8.211 Å, 90.00 106.22 90.00°
Space group P2_1/c (No. 14)
Unique sites:
Tl: 0.180 0.183 0.052
Cr: 0.238 0.600 0.262
P: 0.132 0.596 0.834
P: 0.436 0.634 0.690
O: 0.009 0.503 0.277
O: 0.086 0.738 0.756
O: 0.144 0.590 0.019
O: 0.316 0.604 0.511
O: 0.333 0.554 0.813
O: 0.367 0.076 0.766
O: 0.445 0.716 0.242

Results
calculated volume: 13.20 Å³/atom
density: 4.922 g cm⁻³
uncorrected energy: -7.58 eV per atom
crystal system: monoclinic
total magnetization: 3.00 μB/f.u.
ΔE_f (raw): -2016 meV/atom

---

# Sr2MnMo

Sr2MnMo after structural relaxation (PBEsol, the Alexandria database).

Cell: 6.826 3.938 9.083 Å, 90.00 104.27 90.00°
Space group Cm (No. 8)
Unique sites:
Sr: 0.000 0.000 0.000
Sr: 0.181 0.000 0.551
Mn: 0.424 0.000 0.275
Mo: 0.257 0.500 0.275

Results
calculated volume: 29.58 Å³/atom
density: 4.577 g cm⁻³
DFT formation energy: 50.61 kJ per mole of atoms
uncorrected energy: -5.78 eV per atom
energy above the lowest structure with this stoichiometry: 0 meV per atom
crystal system: monoclinic
total magnetization: 0.84 μB/f.u.

---

# LiCu2Pt

LiCu2Pt after structural relaxation (PBEsol, the Alexandria database).

Cell: 2.949 3.973 4.131 Å, 90.00 90.00 90.00°
Space group Pmmm (No. 47)
Unique sites:
Li: 0.000 0.000 0.000
Cu: 0.000 0.500 0.500
Cu: 0.500 0.000 0.500
Pt: 0.500 0.500 0.000

Results
calculated volume: 12.10 Å³/atom
density: 11.289 g cm⁻³
DFT formation energy: -20.42 kJ per mole of atoms
uncorrected energy: -4.61 eV per atom
energy above the lowest structure with this stoichiometry: 32 meV per atom
crystal system: orthorhombic
total magnetization: 0.00 μB/f.u.

---

# TlTcRh3

TlTcRh3 after structural relaxation (PBEsol, the Alexandria database).

Cell: 4.798 4.798 4.798 Å, 90.00 90.00 90.00°
Space group Pm-3m (No. 221)
Unique sites:
Tl: 0.000 0.000 0.000
Tc: 0.500 0.500 0.500
Rh: 0.000 0.000 0.500

Results
calculated volume: 22.08 Å³/atom
density: 9.190 g cm⁻³
DFT formation energy: 220.19 kJ per mole of atoms
uncorrected energy: -5.38 eV per atom
crystal system: cubic
total magnetization: 4.98 μB/f.u.

---

# KY2Ti2S2O5

KY2Ti2S2O5 after structural relaxation (PBEsol, the Alexandria database).

Cell: 3.687 3.687 14.759 Å, 90.00 90.00 90.00°
Space group P4/mmm (No. 123)
Unique sites:
K: 0.000 0.000 0.000
Y: 0.000 0.000 0.241
Ti: 0.500 0.500 0.378
S: 0.500 0.500 0.149
O: 0.000 0.500 0.332
O: 0.500 0.500 0.500

Results
calculated volume: 16.72 Å³/atom
density: 3.780 g cm⁻³
uncorrected energy: -8.31 eV per atom
crystal system: tetragonal
total magnetization: 0.96 μB/f.u.
ΔE_f (raw): -2777 meV/atom

---

# KNa2Au2

KNa2Au2 after structural relaxation (PBEsol, the Alexandria database).

Cell: 4.579 4.579 13.026 Å, 90.00 90.00 90.00°
Space group I4/mmm (No. 139)
Unique sites:
K: 0.000 0.000 0.000
Na: 0.000 0.500 0.250
Au: 0.000 0.000 0.397

Results
calculated volume: 27.31 Å³/atom
density: 5.825 g cm⁻³
DFT formation energy: -15.94 kJ per mole of atoms
uncorrected energy: -2.52 eV per atom
energy above the lowest structure with this stoichiometry: 0 meV per atom
crystal system: tetragonal
total magnetization: 0.00 μB/f.u.

---

# KMnN2O

KMnN2O after structural relaxation (PBEsol, the Alexandria database).

Cell: 3.634 3.634 4.039 Å, 90.00 90.00 90.00°
Space group P4/mmm (No. 123)
Unique sites:
K: 0.000 0.000 0.000
Mn: 0.500 0.500 0.500
N: 0.000 0.500 0.500
O: 0.500 0.500 0.000

Results
calculated volume: 10.67 Å³/atom
density: 4.299 g cm⁻³
uncorrected energy: -6.67 eV per atom
crystal system: tetragonal
total magnetization: 0.12 μB/f.u.
ΔE_f (raw): -33 meV/atom

---

# MgMn3Re

MgMn3Re after structural relaxation (PBEsol, the Alexandria database).

Cell: 4.183 4.183 4.183 Å, 90.00 90.00 90.00°
Space group Pm-3m (No. 221)
Unique sites:
Mg: 0.000 0.000 0.000
Mn: 0.000 0.000 0.500
Re: 0.500 0.500 0.500

Results
calculated volume: 14.64 Å³/atom
density: 8.513 g cm⁻³
DFT formation energy: 207.29 kJ per mole of atoms
uncorrected energy: -6.72 eV per atom
crystal system: cubic
total magnetization: 4.63 μB/f.u.

---

# BeGeSbI2

BeGeSbI2 after structural relaxation (PBEsol, the Alexandria database).

Cell: 5.497 5.497 5.449 Å, 90.00 90.00 90.00°
Space group P4/mmm (No. 123)
Unique sites:
Be: 0.000 0.000 0.000
Ge: 0.500 0.500 0.500
Sb: 0.500 0.500 0.000
I: 0.000 0.500 0.500

Results
calculated volume: 32.93 Å³/atom
density: 4.612 g cm⁻³
uncorrected energy: -2.54 eV per atom
crystal system: tetragonal
total magnetization: 0.00 μB/f.u.
ΔE_f (raw): 868 meV/atom

---

# TaMnGe

TaMnGe after structural relaxation (PBEsol, the Alexandria database).

Cell: 6.4106 6.4106 3.5279 Å, 90.00 90.00 120.00°
Space group P-62m (No. 189)
Unique sites:
Ta: 0.0000 0.4129 0.0000
Mn: 0.0000 0.7532 0.5000
Ge: 0.0000 0.0000 0.0000
Ge: 0.3333 0.6667 0.5000

Results
calculated volume: 13.95 Å³/atom
density: 12.241 g cm⁻³
DFT formation energy: -30.24 kJ per mole of atoms
uncorrected energy: -9.40 eV per atom
crystal system: hexagonal
total magnetization: 0.68 μB/f.u.

---

# ZrCoF6

ZrCoF6 after structural relaxation (PBEsol, the Alexandria database).

Cell: 8.014 8.014 8.014 Å, 90.00 90.00 90.00°
Space group Fm-3m (No. 225)
Unique sites:
Zr: 0.000 0.000 0.000
Co: 0.000 0.000 0.500
F: 0.000 0.000 0.251

Results
calculated volume: 16.08 Å³/atom
density: 3.409 g cm⁻³
uncorrected energy: -6.49 eV per atom
crystal system: cubic
total magnetization: 3.00 μB/f.u.
ΔE_f (raw): -2941 meV/atom

---

# LaZr3Mn

LaZr3Mn after structural relaxation (PBEsol, the Alexandria database).

Cell: 4.906 4.906 4.906 Å, 90.00 90.00 90.00°
Space group Pm-3m (No. 221)
Unique sites:
La: 0.000 0.000 0.000
Zr: 0.000 0.500 0.500
Mn: 0.500 0.500 0.500

Results
calculated volume: 23.62 Å³/atom
density: 6.573 g cm⁻³
DFT formation energy: 21.84 kJ per mole of atoms
uncorrected energy: -8.25 eV per atom
crystal system: cubic
total magnetization: 0.00 μB/f.u.

---

# TcMoPt2

TcMoPt2 after structural relaxation (PBEsol, the Alexandria database).

Cell: 2.7319 2.7319 27.1957 Å, 90.00 90.00 120.00°
Space group R-3m (No. 166, hexagonal axes)
Unique sites:
Tc: 0.0000 0.0000 0.0000
Mo: 0.0000 0.0000 0.5000
Pt: 0.0000 0.0000 0.2507

Results
calculated volume: 14.65 Å³/atom
density: 16.554 g cm⁻³
DFT formation energy: -8.83 kJ per mole of atoms
uncorrected energy: -9.33 eV per atom
energy above the lowest structure with this stoichiometry: 185 meV per atom
crystal system: trigonal
total magnetization: 0.00 μB/f.u.

---

# TeAsBr2F

TeAsBr2F after structural relaxation (PBEsol, the Alexandria database).

Cell: 5.507 5.507 3.834 Å, 90.00 90.00 90.00°
Space group P4/mmm (No. 123)
Unique sites:
Te: 0.000 0.000 0.000
As: 0.500 0.500 0.000
Br: 0.000 0.500 0.500
F: 0.500 0.500 0.500

Results
calculated volume: 23.26 Å³/atom
density: 5.445 g cm⁻³
uncorrected energy: -2.79 eV per atom
crystal system: tetragonal
total magnetization: 0.00 μB/f.u.
ΔE_f (raw): 67 meV/atom

---

# LaMg2Mo

LaMg2Mo after structural relaxation (PBEsol, the Alexandria database).

Cell: 3.311 4.790 11.087 Å, 90.00 90.00 90.00°
Space group Immm (No. 71)
Unique sites:
La: 0.000 0.000 0.000
Mg: 0.000 0.500 0.217
Mo: 0.000 0.000 0.500

Results
calculated volume: 21.98 Å³/atom
density: 5.354 g cm⁻³
DFT formation energy: 31.66 kJ per mole of atoms
uncorrected energy: -4.81 eV per atom
energy above the lowest structure with this stoichiometry: 0 meV per atom
crystal system: orthorhombic
total magnetization: 0.00 μB/f.u.

---

# LaPdCl2

LaPdCl2 after structural relaxation (PBEsol, the Alexandria database).

Cell: 3.6292 3.6292 25.4301 Å, 90.00 90.00 120.00°
Space group R-3m (No. 166, hexagonal axes)
Unique sites:
La: 0.0000 0.0000 0.0000
Pd: 0.0000 0.0000 0.5000
Cl: 0.0000 0.0000 0.4101

Results
calculated volume: 24.17 Å³/atom
density: 5.431 g cm⁻³
uncorrected energy: -4.84 eV per atom
energy above the lowest structure with this stoichiometry: 0 meV per atom
crystal system: trigonal
total magnetization: 0.00 μB/f.u.
ΔE_f (raw): -1015 meV/atom

---

# TeIrN2F

TeIrN2F after structural relaxation (PBEsol, the Alexandria database).

Cell: 3.936 3.936 4.141 Å, 90.00 90.00 90.00°
Space group P4/mmm (No. 123)
Unique sites:
Te: 0.000 0.000 0.000
Ir: 0.500 0.500 0.000
N: 0.000 0.500 0.500
F: 0.000 0.000 0.500

Results
calculated volume: 12.83 Å³/atom
density: 9.494 g cm⁻³
uncorrected energy: -4.35 eV per atom
energy above the lowest structure with this stoichiometry: 573 meV per atom
crystal system: tetragonal
total magnetization: 0.00 μB/f.u.
ΔE_f (raw): 2114 meV/atom

---

# Fe2CuRu

Fe2CuRu after structural relaxation (PBEsol, the Alexandria database).

Cell: 8.397 2.558 4.427 Å, 90.00 100.79 90.00°
Space group Cm (No. 8)
Unique sites:
Fe: 0.000 0.000 0.000
Fe: 0.245 0.500 0.262
Cu: 0.497 0.000 0.493
Ru: 0.253 0.000 0.774

Results
calculated volume: 11.67 Å³/atom
density: 9.825 g cm⁻³
DFT formation energy: 20.20 kJ per mole of atoms
uncorrected energy: -7.90 eV per atom
energy above the lowest structure with this stoichiometry: 15 meV per atom
crystal system: monoclinic
total magnetization: 4.02 μB/f.u.

---

# LiCd

LiCd after structural relaxation (PBEsol, the Alexandria database).

Cell: 6.600 6.600 6.600 Å, 90.00 90.00 90.00°
Space group Fd-3m (No. 227, origin choice 2)
Unique sites:
Li: 0.125 0.125 0.125
Cd: 0.125 0.125 0.625

Results
calculated volume: 17.97 Å³/atom
density: 5.516 g cm⁻³
DFT formation energy: -26.21 kJ per mole of atoms
uncorrected energy: -1.85 eV per atom
crystal system: cubic
total magnetization: 0.00 μB/f.u.